VASP calculation (PBE-GGA) on crystalline Ac3MgGa2 at its relaxed geometry.

Values from the calculation:
- Energy relative to the elements: -0.32 eV/atom
- Space group: P4/mmm (123)

abc: 3.943 3.943 12.215
angles: 90.00 90.00 90.00
Fractional coordinates of all 6 atoms:
Ac 0.000 0.000 0.000
Ac 0.000 0.000 0.682
Ac 0.000 0.000 0.318
Mg 0.500 0.500 0.500
Ga 0.500 0.500 0.834
Ga 0.500 0.500 0.166

***

VASP calculation (PBE-GGA) on crystalline ZrCu2Mo at its relaxed geometry.

Values from the calculation:
- Energy relative to the elements: 0.13 eV/atom
- Distance to the lowest polymorph of the same formula: 0.18 eV per formula unit
- Space group: Cmm2 (35)

abc: 2.806 2.806 7.879
angles: 90.00 90.00 89.41
Fractional coordinates of all 4 atoms:
Cu 0.000 0.000 0.033
Cu 0.500 0.500 0.233
Mo 0.000 0.000 0.467
Zr 0.500 0.500 0.766

***

VASP calculation (PBE-GGA) on crystalline MgNiRu2 at its relaxed geometry.

Values from the calculation:
- Energy relative to the elements: 0.04 eV/atom
- Space group: P4mm (99)

abc: 2.779 2.779 7.319
angles: 90.00 90.00 90.00
Fractional coordinates of all 4 atoms:
Mg 0.000 0.000 0.510
Ni 0.500 0.500 0.762
Ru 0.000 0.000 0.998
Ru 0.500 0.500 0.229

***

VASP calculation (PBE-GGA) on crystalline LiNdZn2 at its relaxed geometry.

Values from the calculation:
- Energy relative to the elements: -0.25 eV/atom
- Distance to the lowest polymorph of the same formula: 0.00 eV per formula unit
- Space group: Fm-3m (225)

abc: 4.892 4.892 4.892
angles: 60.00 60.00 60.00
Fractional coordinates of all 4 atoms:
Zn 0.250 0.250 0.250
Zn 0.750 0.750 0.750
Nd 0.000 0.000 0.000
Li 0.500 0.500 0.500

***

VASP calculation (PBE-GGA) on crystalline La6PRu2I3 at its relaxed geometry.

Values from the calculation:
- Space group: C2/m (12)
- Uncorrected formation energy: -990 meV/atom

abc: 7.409 7.409 8.496
angles: 98.64 98.64 119.61
Fractional coordinates of all 12 atoms:
La 0.944 0.597 0.812
La 0.714 0.714 0.186
La 0.056 0.403 0.188
La 0.597 0.944 0.812
La 0.286 0.286 0.814
La 0.403 0.056 0.188
P 0.000 0.000 0.000
Ru 0.332 0.668 0.000
Ru 0.668 0.332 0.000
I 0.164 0.836 0.500
I 0.836 0.164 0.500
I 0.500 0.500 0.500

***

VASP calculation (PBE-GGA) on crystalline Na2H2F at its relaxed geometry.

Values from the calculation:
- Space group: C2/m (12)
- Energy: -3.123 eV per atom

abc: 3.461 3.461 6.505
angles: 82.83 112.85 120.30
Fractional coordinates of all 5 atoms:
Na 0.847 0.377 0.224
Na 0.153 0.623 0.776
H 0.421 0.078 0.499
H 0.579 0.922 0.501
F 0.000 0.000 0.000

***

VASP calculation (PBE-GGA) on crystalline OsAu2Cl at its relaxed geometry.

Values from the calculation:
- Distance to the lowest polymorph of the same formula: 1.37 eV per formula unit
- Space group: Cmmm (65)
- Uncorrected formation energy: 839 meV/atom

abc: 5.344 6.104 2.764
angles: 63.10 89.98 117.00
Fractional coordinates of all 4 atoms:
Au 0.000 0.000 0.000
Au 0.000 0.500 0.500
Cl 0.500 0.500 0.000
Os 0.500 0.000 0.500

***

VASP calculation (PBE-GGA) on crystalline Nb2SnTeO at its relaxed geometry.

Values from the calculation:
- Distance to the lowest polymorph of the same formula: 0.73 eV per formula unit
- Space group: P4/mmm (123)
- Uncorrected formation energy: 751 meV/atom

abc: 5.343 4.048 5.343
angles: 90.00 90.00 90.00
Last column: magnetic moment on the atom in μB.
Fractional coordinates of all 5 atoms:
Nb 0.000 0.000 0.500  1.65
Nb 0.500 0.000 0.000  1.49
Te 0.500 0.500 0.500  -0.10
Sn 0.000 0.000 0.000  0.02
O 0.000 0.500 0.000  0.11

***

VASP calculation (PBE-GGA) on crystalline KInSe at its relaxed geometry.

Values from the calculation:
- Distance to the lowest polymorph of the same formula: 0.24 eV per formula unit
- Space group: I4mm (107)
- Uncorrected formation energy: -640 meV/atom

abc: 6.789 6.789 3.836
angles: 73.59 73.60 32.82
Fractional coordinates of all 3 atoms:
In 0.036 0.036 0.964
K 0.319 0.319 0.681
Se 0.645 0.645 0.355

***

VASP calculation (PBE-GGA) on crystalline BiBr3 at its relaxed geometry.

Values from the calculation:
- Space group: Fm-3m (225)
- Uncorrected formation energy: -160 meV/atom

abc: 5.303 5.303 5.303
angles: 60.00 60.00 60.00
Fractional coordinates of all 4 atoms:
Bi 0.500 0.500 0.500
Br 0.250 0.250 0.250
Br 0.750 0.750 0.750
Br 0.000 0.000 0.000

***

VASP calculation (PBE-GGA) on crystalline MgTaHg2 at its relaxed geometry.

Values from the calculation:
- Energy relative to the elements: 0.21 eV/atom
- Space group: Cmmm (65)

abc: 5.219 5.219 3.022
angles: 90.02 90.02 105.15
Fractional coordinates of all 4 atoms:
Hg 0.000 0.000 0.000
Hg 0.500 0.500 0.000
Mg 0.500 0.000 0.500
Ta 0.000 0.500 0.500

***

VASP calculation (PBE-GGA) on crystalline Er2Se2F at its relaxed geometry.

Values from the calculation:
- Space group: C2/m (12)
- Uncorrected formation energy: -2346 meV/atom

abc: 5.628 6.805 7.480
angles: 64.90 67.90 65.58
Fractional coordinates of all 10 atoms:
Er 0.175 0.239 0.411
Er 0.825 0.761 0.589
Er 0.469 0.281 0.781
Er 0.531 0.719 0.219
Se 0.688 0.241 0.382
Se 0.312 0.759 0.618
Se 0.049 0.708 0.195
Se 0.951 0.292 0.805
F 0.377 0.117 0.128
F 0.623 0.883 0.872